Entry a
# RbNbPt2 (PBE-GGA, relaxed)
data_RbNbPt2
_cell_length_a 7.688
_cell_length_b 7.688
_cell_length_c 7.768
_cell_angle_alpha 90.00
_cell_angle_beta 90.00
_cell_angle_gamma 90.00
_symmetry_space_group_name_H-M 'I -4 2 d'
_symmetry_Int_Tables_number 122
_symmetry_space_group_name_Hall 'I -4 2bw'
loop_
_atom_site_label
_atom_site_fract_x
_atom_site_fract_y
_atom_site_fract_z
Rb1 0.000 0.000 0.000
Nb1 0.000 0.000 0.500
Pt1 0.164 0.250 0.625
# Density, Mg/m³: 8.2

=====

Entry b
# RbNbPt2 (PBE-GGA, relaxed)
data_RbNbPt2
_cell_length_a 6.891
_cell_length_b 6.891
_cell_length_c 6.891
_cell_angle_alpha 90.00
_cell_angle_beta 90.00
_cell_angle_gamma 90.00
_symmetry_space_group_name_H-M 'F m -3 m'
_symmetry_Int_Tables_number 225
_symmetry_space_group_name_Hall '-F 4 2 3'
loop_
_atom_site_label
_atom_site_fract_x
_atom_site_fract_y
_atom_site_fract_z
Rb1 0.000 0.000 0.000
Nb1 0.000 0.000 0.500
Pt1 0.250 0.250 0.250
# Density, Mg/m³: 11.5

=====

entry a has the most favorable energy; the next structure is 0.214 eV/atom above.

=====

Entry a
# Nb2Re2Pt (PBE-GGA, relaxed)
data_Nb2Re2Pt
_cell_length_a 7.590
_cell_length_b 7.590
_cell_length_c 3.008
_cell_angle_alpha 90.00
_cell_angle_beta 90.00
_cell_angle_gamma 90.00
_symmetry_space_group_name_H-M 'P 4/m b m'
_symmetry_Int_Tables_number 127
_symmetry_space_group_name_Hall '-P 4 2ab'
loop_
_atom_site_label
_atom_site_fract_x
_atom_site_fract_y
_atom_site_fract_z
Nb1 0.149 0.351 0.000
Re1 0.152 0.652 0.500
Pt1 0.000 0.000 0.000
# Density, Mg/m³: 14.4

=====

Entry b
# Nb2Re2Pt (PBE-GGA, relaxed)
data_Nb2Re2Pt
_cell_length_a 3.561
_cell_length_b 3.561
_cell_length_c 14.312
_cell_angle_alpha 90.00
_cell_angle_beta 90.00
_cell_angle_gamma 90.00
_symmetry_space_group_name_H-M 'I 4/m m m'
_symmetry_Int_Tables_number 139
_symmetry_space_group_name_Hall '-I 4 2'
loop_
_atom_site_label
_atom_site_fract_x
_atom_site_fract_y
_atom_site_fract_z
Nb1 0.000 0.000 0.097
Re1 0.000 0.500 0.250
Pt1 0.000 0.000 0.500
# Density, Mg/m³: 13.8

=====

entry a has the most favorable energy; the next structure is 0.069 eV/atom above.

=====

Entry a
# NbRePt2 (PBE-GGA, relaxed)
data_NbRePt2
_cell_length_a 3.832
_cell_length_b 3.832
_cell_length_c 18.771
_cell_angle_alpha 90.00
_cell_angle_beta 90.00
_cell_angle_gamma 90.00
_symmetry_space_group_name_H-M 'I -4 2 d'
_symmetry_Int_Tables_number 122
_symmetry_space_group_name_Hall 'I -4 2bw'
loop_
_atom_site_label
_atom_site_fract_x
_atom_site_fract_y
_atom_site_fract_z
Nb1 0.000 0.000 0.000
Re1 0.000 0.000 0.500
Pt1 0.244 0.250 0.625
# Density, Mg/m³: 16.1

=====

Entry b
# NbRePt2 (PBE-GGA, relaxed)
data_NbRePt2
_cell_length_a 6.395
_cell_length_b 6.395
_cell_length_c 6.395
_cell_angle_alpha 90.00
_cell_angle_beta 90.00
_cell_angle_gamma 90.00
_symmetry_space_group_name_H-M 'F m -3 m'
_symmetry_Int_Tables_number 225
_symmetry_space_group_name_Hall '-F 4 2 3'
loop_
_atom_site_label
_atom_site_fract_x
_atom_site_fract_y
_atom_site_fract_z
Nb1 0.000 0.000 0.000
Re1 0.000 0.000 0.500
Pt1 0.250 0.250 0.250
# Density, Mg/m³: 17.0

=====

entry b has the most favorable energy; the next structure is 0.051 eV/atom above.

=====

Entry a
# NbRe3Pt (PBE-GGA, relaxed)
data_NbRe3Pt
_cell_length_a 4.697
_cell_length_b 4.697
_cell_length_c 4.697
_cell_angle_alpha 90.00
_cell_angle_beta 90.00
_cell_angle_gamma 90.00
_symmetry_space_group_name_H-M 'P m -3 m'
_symmetry_Int_Tables_number 221
_symmetry_space_group_name_Hall '-P 4 2 3'
loop_
_atom_site_label
_atom_site_fract_x
_atom_site_fract_y
_atom_site_fract_z
Nb1 0.000 0.000 0.000
Re1 0.000 0.500 0.500
Pt1 0.500 0.500 0.500
# Density, Mg/m³: 13.6

=====

Entry b
# NbRe3Pt (PBE-GGA, relaxed)
data_NbRe3Pt
_cell_length_a 4.681
_cell_length_b 4.681
_cell_length_c 4.681
_cell_angle_alpha 90.00
_cell_angle_beta 90.00
_cell_angle_gamma 90.00
_symmetry_space_group_name_H-M 'P m -3 m'
_symmetry_Int_Tables_number 221
_symmetry_space_group_name_Hall '-P 4 2 3'
loop_
_atom_site_label
_atom_site_fract_x
_atom_site_fract_y
_atom_site_fract_z
Nb1 0.000 0.000 0.000
Re1 0.000 0.000 0.500
Pt1 0.500 0.500 0.500
# Density, Mg/m³: 13.7

=====

entry a has the most favorable energy; the next structure is 0.123 eV/atom above.

=====

Entry a
# NbRe2Pt (PBE-GGA, relaxed)
data_NbRe2Pt
_cell_length_a 3.939
_cell_length_b 3.939
_cell_length_c 4.038
_cell_angle_alpha 90.00
_cell_angle_beta 90.00
_cell_angle_gamma 90.00
_symmetry_space_group_name_H-M 'P 4/m m m'
_symmetry_Int_Tables_number 123
_symmetry_space_group_name_Hall '-P 4 2'
loop_
_atom_site_label
_atom_site_fract_x
_atom_site_fract_y
_atom_site_fract_z
Nb1 0.000 0.000 0.000
Re1 0.000 0.500 0.500
Pt1 0.500 0.500 0.000
# Density, Mg/m³: 17.5

=====

Entry b
# NbRe2Pt (PBE-GGA, relaxed)
data_NbRe2Pt
_cell_length_a 6.348
_cell_length_b 6.348
_cell_length_c 6.348
_cell_angle_alpha 90.00
_cell_angle_beta 90.00
_cell_angle_gamma 90.00
_symmetry_space_group_name_H-M 'F m -3 m'
_symmetry_Int_Tables_number 225
_symmetry_space_group_name_Hall '-F 4 2 3'
loop_
_atom_site_label
_atom_site_fract_x
_atom_site_fract_y
_atom_site_fract_z
Nb1 0.000 0.000 0.000
Re1 0.250 0.250 0.250
Pt1 0.000 0.000 0.500
# Density, Mg/m³: 17.1

=====

entry a has the most favorable energy; the next structure is 0.434 eV/atom above.

=====

Entry a
# Nb2PtRh3 (PBE-GGA, relaxed)
data_Nb2PtRh3
_cell_length_a 12.119
_cell_length_b 3.993
_cell_length_c 8.843
_cell_angle_alpha 90.00
_cell_angle_beta 117.48
_cell_angle_gamma 90.00
_symmetry_space_group_name_H-M 'C 1 2/m 1'
_symmetry_Int_Tables_number 12
_symmetry_space_group_name_Hall '-C 2y'
loop_
_atom_site_label
_atom_site_fract_x
_atom_site_fract_y
_atom_site_fract_z
Nb1 0.023 0.000 0.347
Nb2 0.212 0.500 0.357
Pt1 0.125 0.500 0.622
Rh1 0.036 0.500 0.869
Rh2 0.126 0.000 0.133
Rh3 0.210 0.000 0.880
# Density, Mg/m³: 12.1

=====

Entry b
# Nb2PtRh3 (PBE-GGA, relaxed)
data_Nb2PtRh3
_cell_length_a 3.982
_cell_length_b 12.127
_cell_length_c 3.862
_cell_angle_alpha 90.00
_cell_angle_beta 90.00
_cell_angle_gamma 90.00
_symmetry_space_group_name_H-M 'C m m m'
_symmetry_Int_Tables_number 65
_symmetry_space_group_name_Hall '-C 2 2'
loop_
_atom_site_label
_atom_site_fract_x
_atom_site_fract_y
_atom_site_fract_z
Nb1 0.000 0.159 0.000
Pt1 0.000 0.500 0.000
Rh1 0.000 0.000 0.500
Rh2 0.000 0.333 0.500
# Density, Mg/m³: 12.3

=====

entry b has the most favorable energy; the next structure is 0.137 eV/atom above.

=====

Entry a
# Nb3PtRh (PBE-GGA, relaxed)
data_Nb3PtRh
_cell_length_a 4.706
_cell_length_b 5.768
_cell_length_c 6.793
_cell_angle_alpha 90.00
_cell_angle_beta 109.15
_cell_angle_gamma 90.00
_symmetry_space_group_name_H-M 'P 1 21/m 1'
_symmetry_Int_Tables_number 11
_symmetry_space_group_name_Hall '-P 2yb'
loop_
_atom_site_label
_atom_site_fract_x
_atom_site_fract_y
_atom_site_fract_z
Nb1 0.030 0.250 0.496
Nb2 0.192 0.501 0.877
Pt1 0.364 0.750 0.259
Rh1 0.390 0.250 0.258
# Density, Mg/m³: 11.0

=====

Entry b
# Nb3PtRh (PBE-GGA, relaxed)
data_Nb3PtRh
_cell_length_a 4.838
_cell_length_b 4.838
_cell_length_c 4.838
_cell_angle_alpha 90.00
_cell_angle_beta 90.00
_cell_angle_gamma 90.00
_symmetry_space_group_name_H-M 'P m -3 m'
_symmetry_Int_Tables_number 221
_symmetry_space_group_name_Hall '-P 4 2 3'
loop_
_atom_site_label
_atom_site_fract_x
_atom_site_fract_y
_atom_site_fract_z
Nb1 0.000 0.000 0.500
Pt1 0.000 0.000 0.000
Rh1 0.500 0.500 0.500
# Density, Mg/m³: 8.5

=====

Entry c
# Nb3PtRh (PBE-GGA, relaxed)
data_Nb3PtRh
_cell_length_a 4.752
_cell_length_b 4.752
_cell_length_c 4.752
_cell_angle_alpha 90.00
_cell_angle_beta 90.00
_cell_angle_gamma 90.00
_symmetry_space_group_name_H-M 'P m -3 m'
_symmetry_Int_Tables_number 221
_symmetry_space_group_name_Hall '-P 4 2 3'
loop_
_atom_site_label
_atom_site_fract_x
_atom_site_fract_y
_atom_site_fract_z
Nb1 0.000 0.000 0.500
Pt1 0.500 0.500 0.500
Rh1 0.000 0.000 0.000
# Density, Mg/m³: 8.9

=====

entry a has the most favorable energy; the next structure is 1.090 eV/atom above.

=====

Entry a
# Nb2Pt2Rh3 (PBE-GGA, relaxed)
data_Nb2Pt2Rh3
_cell_length_a 7.759
_cell_length_b 7.759
_cell_length_c 7.759
_cell_angle_alpha 90.00
_cell_angle_beta 90.00
_cell_angle_gamma 90.00
_symmetry_space_group_name_H-M 'I 21 3'
_symmetry_Int_Tables_number 199
_symmetry_space_group_name_Hall 'I 2b 2c 3'
loop_
_atom_site_label
_atom_site_fract_x
_atom_site_fract_y
_atom_site_fract_z
Nb1 0.225 0.225 0.225
Pt1 0.088 0.412 0.588
Rh1 0.000 0.250 0.964
# Density, Mg/m³: 12.6

=====

Entry b
# Nb2Pt2Rh3 (PBE-GGA, relaxed)
data_Nb2Pt2Rh3
_cell_length_a 5.027
_cell_length_b 2.885
_cell_length_c 8.007
_cell_angle_alpha 90.00
_cell_angle_beta 90.62
_cell_angle_gamma 90.00
_symmetry_space_group_name_H-M 'P 1 2/m 1'
_symmetry_Int_Tables_number 10
_symmetry_space_group_name_Hall '-P 2y'
loop_
_atom_site_label
_atom_site_fract_x
_atom_site_fract_y
_atom_site_fract_z
Nb1 0.010 0.000 0.225
Pt1 0.500 0.500 0.325
Rh1 0.000 0.500 0.500
Rh2 0.262 0.500 0.996
# Density, Mg/m³: 12.6

=====

entry b has the most favorable energy; the next structure is 0.071 eV/atom above.